1.
Computed, not measured: a geometry-optimized AgAu2Cl structure at the PBEsol level of DFT.

Summary:
Offset from the most stable computed form ... 0.000 eV per atom
Formation energy from raw total energies ... 0.0518 eV/atom

Unit cell a=3.1532 b=3.1532 c=7.1594 alpha=90.00 beta=90.00 gamma=90.00
With the nearest neighbours (Å) after each atom.
Fractional coordinates of all 4 atoms:
Au: 0.0000 0.0000 0.9972  4 Au 2.79, 4 Ag 2.83
Au: 0.5000 0.5000 0.2305  4 Au 2.79, 4 Cl 3.04
Ag: 0.5000 0.5000 0.7536  4 Cl 2.79, 4 Au 2.83
Cl: 0.0000 0.0000 0.5187  4 Ag 2.79, 4 Au 3.04


2.
Computed, not measured: a geometry-optimized TaB3Pt structure at the PBEsol level of DFT.

Unit cell a=4.1528 b=4.1528 c=4.1528 alpha=90.00 beta=90.00 gamma=90.00
With the nearest neighbours (Å) after each atom.
Fractional coordinates of all 5 atoms:
B: 0.0000 0.5000 0.0000  2 Ta 2.08
B: 0.0000 0.0000 0.5000  2 Ta 2.08
B: 0.5000 0.0000 0.0000  2 Ta 2.08
Pt: 0.5000 0.5000 0.5000  12 B 2.94
Ta: 0.0000 0.0000 0.0000  6 B 2.08


3.
Computed, not measured: a geometry-optimized Sr2MoRh structure at the PBEsol level of DFT.

Summary:
Offset from the most stable computed form ... 0.000 eV per atom

Unit cell a=3.3672 b=3.3672 c=9.3443 alpha=90.00 beta=89.98 gamma=90.00
With the nearest neighbours (Å) after each atom.
Fractional coordinates of all 4 atoms:
Mo: 0.9997 0.0000 0.4223  4 Rh 2.56
Rh: 0.4999 0.5000 0.3206  4 Mo 2.56
Sr: 0.0006 0.0000 0.0758  1 Mo 3.24, 4 Rh 3.30, 4 Sr 3.37
Sr: 0.4997 0.5000 0.6812  4 Sr 3.37, 1 Rh 3.37, 4 Mo 3.39


Volume values, unit Å³ per atom, following the record order: 17.80 14.32 26.49.
Raw total energy values, unit eV per cell, following the record order: -12.96 -31.62 -22.10.
M_tot values, unit Bohr magnetons per cell, following the record order: 0.00 0.00 0.00.